{"formula": "Ba2MoRu", "functional": "PBE", "state": "relaxed", "crystal_system": "tetragonal", "polymorph_energy_ev_per_fu": 2.96, "formation_enthalpy_0k_ev_per_atom": 1.271, "lattice": [[5.334, 0.000, 0.000], [0.000, 5.334, 0.000], [0.000, 0.000, 7.530]], "species": ["Ba", "Ba", "Ba", "Ba", "Mo", "Mo", "Ru", "Ru"], "fractional_positions": [[0.000, 0.000, 0.000], [0.000, 0.500, 0.250], [0.500, 0.000, 0.750], [0.500, 0.500, 0.500], [0.000, 0.500, 0.750], [0.500, 0.000, 0.250], [0.000, 0.000, 0.500], [0.500, 0.500, 0.000]]}